[1]
MnTcIr2 GGA-PBE relaxed; energy above the lowest structure with this stoichiometry = 67 meV/atom; energy relative to the elements = -112 meV/atom; total DFT energy (no corrections) = -9.43 eV/atom; space-group type = Cm (8)
1.0
-1.5744 -2.2525 3.7855
1.0832 -2.8031 3.5849
0.9142 3.2215 3.2708
Ir Tc Mn
2 1 1
Cartesian
0.4127 -1.8696 10.6033
0.1171 -0.4177 2.6983
0.3250 -1.3443 7.9984
0.2026 -0.9535 5.3028


[2]
LiCe2Pb9 GGA-PBE relaxed; energy relative to the elements = -260 meV/atom; total DFT energy (no corrections) = -4.19 eV/atom; space-group type = P4/mmm (123)
1.0
4.8688 0.0000 0.0000
0.0000 4.8688 0.0000
0.0000 0.0000 14.8086
Pb Ce Li
9 2 1
Cartesian
0.0000 2.4344 12.4432
0.0000 2.4344 7.4043
0.0000 2.4344 2.3654
2.4344 2.4344 4.8683
2.4344 0.0000 7.4043
2.4344 2.4344 0.0000
2.4344 2.4344 9.9403
2.4344 0.0000 12.4432
2.4344 0.0000 2.3654
0.0000 0.0000 5.0132
0.0000 0.0000 9.7954
0.0000 0.0000 0.0000


[3]
Tc2WN GGA-PBE relaxed; formation energy from raw total energies = 0.538 eV per atom; total DFT energy (no corrections) = -9.96 eV/atom; space-group type = I-42d (122)
1.0
5.3427 0.0000 0.0000
0.0000 5.3427 0.0000
2.6714 2.6714 4.4602
Tc N W
4 2 2
Cartesian
1.8054 4.0070 1.1150
6.6784 6.2086 3.3451
3.5373 1.3357 1.1150
4.0070 4.4768 3.3451
2.6714 2.6714 0.0000
2.6714 5.3427 2.2301
0.0000 0.0000 0.0000
5.3427 2.6714 2.2301


[4]
Rb3RhF5 GGA-PBE relaxed; formation energy from raw total energies = -2.089 eV per atom; total DFT energy (no corrections) = -4.27 eV/atom; space-group type = I4/mcm (140)
1.0
-5.5766 -5.1059 -0.6844
4.8075 -4.7957 -3.3949
2.0118 2.3774 7.9793
F Rb Rh
10 6 2
Cartesian
-1.5287 -2.8895 4.4446
2.7715 -4.6348 -0.5446
-0.7599 -3.2694 1.0145
0.0000 0.0000 0.0000
0.9554 -8.1575 -1.5733
-2.5761 -6.7921 -0.0142
2.0027 -4.2548 2.8856
3.8188 -0.7321 3.9142
-0.3845 -4.9508 -2.0396
0.2874 0.6333 5.4733
2.1527 -5.6306 -3.0293
-1.3710 -7.4499 -2.8521
0.8136 -1.2867 2.9698
0.4291 -6.2375 0.9302
0.6020 -2.4517 -1.2271
-2.9217 -4.2710 -1.0500
-1.9746 -3.8397 2.6277
3.2174 -3.6846 1.2724


[5]
Ac2SmTe2S2 GGA-PBE relaxed; formation energy from raw total energies = -1.648 eV per atom; total DFT energy (no corrections) = -5.57 eV/atom; space-group type = I4/mmm (139)
1.0
5.2046 0.0000 0.0000
0.0000 5.2046 0.0000
-2.6023 -2.6023 8.4044
Te S Ac Sm
2 2 2 1
Cartesian
2.6023 2.6023 5.3228
0.0000 0.0000 3.0816
2.6023 0.0000 0.0000
0.0000 2.6023 0.0000
0.0000 0.0000 6.3814
2.6023 2.6023 2.0229
0.0000 0.0000 0.0000


[6]
AlRh GGA-PBE relaxed; energy relative to the elements = -581 meV/atom; total DFT energy (no corrections) = -6.13 eV/atom; space-group type = Cmm2 (35)
1.0
-4.4025 0.4482 1.5427
-2.7953 -0.4640 -7.8424
1.0780 -4.5593 -0.1145
Rh Al
6 6
Cartesian
-1.7477 -2.6592 -6.4728
-3.5038 -2.3612 -4.4525
-4.6304 -0.1791 -6.0438
-1.8416 -0.3057 -5.1666
0.1080 -2.3512 -1.2665
-0.8320 -2.5072 -3.9036
-2.6725 0.1459 -0.5508
-3.7246 -0.0288 -3.5026
-0.9541 -0.1584 -2.6767
-2.7317 -0.4534 -7.6640
-4.3940 -2.5090 -6.9499
-2.6163 -2.2139 -1.9626


[7]
IrOsRu2 GGA-PBE relaxed; energy above the lowest structure with this stoichiometry = 47 meV/atom; energy relative to the elements = 41 meV/atom; total DFT energy (no corrections) = -9.62 eV/atom; space-group type = C2/m (12)
1.0
4.7079 0.0033 -0.0003
3.9264 2.5976 -0.0003
0.7819 0.2355 4.6376
Ru Ir Os
2 1 1
Cartesian
4.6987 1.4154 2.3344
0.7912 0.2383 4.6218
2.3540 0.7091 1.1593
7.0621 2.1273 3.4778


[8]
HoTlIrO6 GGA-PBE relaxed; formation energy from raw total energies = -1.368 eV per atom; total DFT energy (no corrections) = -6.43 eV/atom; space-group type = P-31c (163)
1.0
-3.4654 0.8789 -4.2616
1.3313 -5.1952 1.4764
-7.1770 -0.1918 5.7964
O Ir Ho Tl
12 2 2 2
Cartesian
-2.3933 -2.6607 -1.1254
-3.5129 -1.5192 1.0188
-2.2125 0.1114 -0.8098
-6.9178 -1.8475 4.1366
-5.7982 -2.9891 1.9924
-5.1570 -2.4382 -1.0473
-4.4390 -4.8157 3.6149
-5.4944 -3.5445 5.8429
-3.8166 -0.9637 -2.8316
-7.0986 -4.6196 3.8211
-4.8721 0.3075 -0.6037
-4.1541 -2.0700 4.0585
-5.6503 -3.3144 3.9111
-3.6607 -1.1938 -0.8998
-2.0618 -3.2185 1.0129
-7.2492 -1.2897 1.9984
-3.5885 -0.0959 2.8982
0.0000 0.0000 0.0000